1.
# LiUF5, optimized geometry, DFT PBE-GGA
# **Energy relative to the elements, uncorrected**: -3.31 eV per atom
# **Total moment**: 8.00 μB/cell
# **Calculated density**: 5.10 g/cm3
data_LiUF5
_symmetry_space_group_name_H-M 'C 1 2/c 1'
_symmetry_Int_Tables_number 15
_symmetry_space_group_name_Hall '-C 2yc'
_cell_length_a 10.7647
_cell_length_b 6.5664
_cell_length_c 7.4411
_cell_angle_alpha 90.00
_cell_angle_beta 122.61
_cell_angle_gamma 90.00
loop_
_atom_site_label
_atom_site_fract_x
_atom_site_fract_y
_atom_site_fract_z
Li1 0.0000 0.0000 0.0000
U1 0.0000 0.4581 0.2500
F1 0.0000 0.2087 0.7500
F2 0.1060 0.1904 0.4514
F3 0.1446 0.4380 0.1229


2.
# LiU2F8, optimized geometry, DFT PBE-GGA
# **Energy relative to the elements, uncorrected**: -3.26 eV per atom
# **Total moment**: 10.00 μB/cell
# **Calculated density**: 5.95 g/cm3
# **Offset from the most stable computed form**: 139.1 meV/atom
data_LiU2F8
_symmetry_space_group_name_H-M 'C 1 2/m 1'
_symmetry_Int_Tables_number 12
_symmetry_space_group_name_Hall '-C 2y'
_cell_length_a 12.8009
_cell_length_b 4.8729
_cell_length_c 5.6857
_cell_angle_alpha 90.00
_cell_angle_beta 92.16
_cell_angle_gamma 90.00
loop_
_atom_site_label
_atom_site_fract_x
_atom_site_fract_y
_atom_site_fract_z
Li1 0.0000 0.0000 0.0000
U1 0.1255 0.0000 0.5508
F1 0.0162 0.2409 0.2815
F2 0.1608 0.0000 0.9207
F3 0.1967 0.5000 0.5449


3.
# LiU2F8, optimized geometry, DFT PBE-GGA
# **Energy relative to the elements, uncorrected**: -3.40 eV per atom
# **Total moment**: 10.00 μB/cell
# **Calculated density**: 7.52 g/cm3
# **Offset from the most stable computed form**: 0.0 meV/atom
data_LiU2F8
_symmetry_space_group_name_H-M 'C 1 2/m 1'
_symmetry_Int_Tables_number 12
_symmetry_space_group_name_Hall '-C 2y'
_cell_length_a 13.7300
_cell_length_b 4.0012
_cell_length_c 5.3721
_cell_angle_alpha 90.00
_cell_angle_beta 108.09
_cell_angle_gamma 90.00
loop_
_atom_site_label
_atom_site_fract_x
_atom_site_fract_y
_atom_site_fract_z
Li1 0.0000 0.0000 0.0000
U1 0.1563 0.5000 0.6658
F1 0.0246 0.5000 0.2818
F2 0.0926 0.0000 0.7934
F3 0.1768 0.0000 0.4106
F4 0.2136 0.5000 0.1132


4.
# Li2UZnF8, optimized geometry, DFT PBE-GGA
# **Energy relative to the elements, uncorrected**: -3.02 eV per atom
# **Total moment**: 2.00 μB/cell
# **Calculated density**: 4.93 g/cm3
data_Li2UZnF8
_symmetry_space_group_name_H-M 'P -1'
_symmetry_Int_Tables_number 2
_symmetry_space_group_name_Hall '-P 1'
_cell_length_a 4.7490
_cell_length_b 4.7699
_cell_length_c 6.9870
_cell_angle_alpha 88.59
_cell_angle_beta 88.74
_cell_angle_gamma 88.95
loop_
_atom_site_label
_atom_site_fract_x
_atom_site_fract_y
_atom_site_fract_z
Li1 0.0167 0.0169 0.3069
U1 0.5000 0.5000 0.0000
Zn1 0.5000 0.5000 0.5000
F1 0.1847 0.1928 0.0305
F2 0.2106 0.2150 0.5058
F3 0.2968 0.7056 0.7454
F4 0.2990 0.7085 0.2534


N(E_F) / states/eV per cell: 14.5, 18.3, 34.9, 2.6